[1]
Material: Dy5GeTe2
Method: DFT, PBE
State: optimized geometry

The structure in POSCAR format:
```
Dy5GeTe2
1.0
2.962 -6.138 0.000
2.962 6.138 0.000
0.000 0.000 13.723
Dy Ge Te
10 2 4
Direct
0.054 0.946 0.623
0.054 0.946 0.877
0.320 0.680 0.250
0.383 0.617 0.595
0.383 0.617 0.905
0.617 0.383 0.095
0.617 0.383 0.405
0.680 0.320 0.750
0.946 0.054 0.123
0.946 0.054 0.377
0.232 0.768 0.750
0.768 0.232 0.250
0.189 0.811 0.060
0.189 0.811 0.440
0.811 0.189 0.560
0.811 0.189 0.940
```

Properties
**Formation energy without anion corrections**: -665 meV/atom

[2]
Material: DyGeTe2
Method: DFT, PBE
State: optimized geometry

The structure in POSCAR format:
```
DyGeTe2
1.0
2.111 1.219 9.411
-2.111 1.219 9.411
0.000 -2.438 9.411
Dy Ge Te
1 1 2
Direct
0.000 0.000 0.000
0.500 0.500 0.500
0.398 0.398 0.398
0.602 0.602 0.602
```

Properties
**Formation energy without anion corrections**: -481 meV/atom